NaLuNiS3 | PBE | relaxed

Results
E (eV per atom): -5.21
Size of the total moment (μB/f.u.): 1.256

Cell: 13.125 3.788 10.419 Å, 90.00 90.00 90.00°
Space group Pnma (No. 62)
Unique sites:
Na 0.231 0.250 0.072 (multiplicity 4)
Lu 0.017 0.250 0.344 (multiplicity 4)
Ni 0.009 0.750 0.088 (multiplicity 4)
S 0.081 0.750 0.894 (multiplicity 4)
S 0.109 0.250 0.569 (multiplicity 4)
S 0.132 0.750 0.242 (multiplicity 4)



NaLuNiSe3 | PBE | relaxed

Results
E (eV per atom): -4.73
Size of the total moment (μB/f.u.): 0.670
Offset from the most stable computed form (eV per atom): 0.027

Cell: 3.884 13.881 10.165 Å, 90.00 90.00 90.00°
Space group Cmcm (No. 63)
Unique sites:
Na 0.000 0.245 0.250 (multiplicity 4)
Lu 0.000 0.000 0.000 (multiplicity 4)
Ni 0.000 0.484 0.750 (multiplicity 4)
Se 0.000 0.086 0.750 (multiplicity 4)
Se 0.000 0.368 0.579 (multiplicity 8)



NaLuNiSe3 | PBE | relaxed

Results
E (eV per atom): -4.63
Size of the total moment (μB/f.u.): 0.814
Offset from the most stable computed form (eV per atom): 0.127

Cell: 8.053 4.023 16.015 Å, 90.00 90.00 90.00°
Space group Pnma (No. 62)
Unique sites:
Na 0.080 0.250 0.212 (multiplicity 4)
Lu 0.244 0.750 0.454 (multiplicity 4)
Ni 0.119 0.250 0.647 (multiplicity 4)
Se 0.011 0.750 0.590 (multiplicity 4)
Se 0.134 0.750 0.057 (multiplicity 4)
Se 0.192 0.250 0.787 (multiplicity 4)



NaLuNiSe3 | PBE | relaxed

Results
E (eV per atom): -4.66
Size of the total moment (μB/f.u.): 0.021
Offset from the most stable computed form (eV per atom): 0.102

Cell: 16.289 4.026 8.308 Å, 90.00 103.96 90.00°
Space group C2/m (No. 12)
Unique sites:
Na 0.134 0.000 0.068 (multiplicity 4)
Lu 0.171 0.000 0.596 (multiplicity 4)
Ni 0.004 0.500 0.697 (multiplicity 4)
Se 0.000 0.000 0.500 (multiplicity 2)
Se 0.000 0.500 0.000 (multiplicity 2)
Se 0.155 0.500 0.352 (multiplicity 4)
Se 0.157 0.500 0.814 (multiplicity 4)



NaLuNiSe3 | PBE | relaxed

Results
E (eV per atom): -4.76
Size of the total moment (μB/f.u.): 1.192
Offset from the most stable computed form (eV per atom): 0.000

Cell: 8.102 3.912 9.496 Å, 90.00 106.74 90.00°
Space group P2_1/m (No. 11)
Unique sites:
Na 0.217 0.250 0.252 (multiplicity 2)
Lu 0.318 0.750 0.854 (multiplicity 2)
Ni 0.081 0.250 0.591 (multiplicity 2)
Se 0.074 0.250 0.844 (multiplicity 2)
Se 0.216 0.750 0.536 (multiplicity 2)
Se 0.439 0.750 0.159 (multiplicity 2)



NaLuNiSe3 | PBE | relaxed

Results
E (eV per atom): -4.76
Size of the total moment (μB/f.u.): 1.199
Offset from the most stable computed form (eV per atom): 0.002

Cell: 13.677 3.922 10.683 Å, 90.00 90.00 90.00°
Space group Pnma (No. 62)
Unique sites:
Na 0.229 0.250 0.052 (multiplicity 4)
Lu 0.019 0.250 0.342 (multiplicity 4)
Ni 0.009 0.750 0.089 (multiplicity 4)
Se 0.088 0.750 0.892 (multiplicity 4)
Se 0.111 0.250 0.572 (multiplicity 4)
Se 0.139 0.750 0.241 (multiplicity 4)



NaLuNiSe3 | PBE | relaxed

Results
E (eV per atom): -4.73
Size of the total moment (μB/f.u.): 1.461
Offset from the most stable computed form (eV per atom): 0.026

Cell: 10.482 3.946 13.306 Å, 90.00 90.00 90.00°
Space group Pnma (No. 62)
Unique sites:
Na 0.223 0.250 0.007 (multiplicity 4)
Lu 0.016 0.750 0.744 (multiplicity 4)
Ni 0.236 0.750 0.229 (multiplicity 4)
Se 0.056 0.750 0.119 (multiplicity 4)
Se 0.093 0.250 0.609 (multiplicity 4)
Se 0.236 0.250 0.330 (multiplicity 4)



NaLuNiSe3 | PBE | relaxed

Results
E (eV per atom): -4.69
Size of the total moment (μB/f.u.): 0.874
Offset from the most stable computed form (eV per atom): 0.067

Cell: 10.913 4.023 11.900 Å, 90.00 90.00 90.00°
Space group Pnma (No. 62)
Unique sites:
Na 0.184 0.250 0.006 (multiplicity 4)
Lu 0.012 0.250 0.309 (multiplicity 4)
Ni 0.248 0.750 0.216 (multiplicity 4)
Se 0.046 0.750 0.146 (multiplicity 4)
Se 0.106 0.250 0.565 (multiplicity 4)
Se 0.224 0.750 0.810 (multiplicity 4)